# 1
VASP calculation (PBE-GGA) on Pu3PaAs4 after structural relaxation.

a = 5.8464 Å, b = 5.8464 Å, c = 5.8464 Å
α = 90.00°, β = 90.00°, γ = 90.00°
Last column: nearest neighbours and their distance in Å.
Space group Pm-3m (No. 221)
Inequivalent atoms, fractional coordinates:
Pu (0.0000, 0.0000, 0.5000) x3  6 As 2.92
Pa (0.5000, 0.5000, 0.5000) x1  6 As 2.92
As (0.0000, 0.0000, 0.0000) x1  6 Pu 2.92
As (0.0000, 0.5000, 0.5000) x3  2 Pa 2.92, 4 Pu 2.92

DOS at the Fermi energy	4.030	states/eV/atom
calculated formation energy	-8.32	eV/f.u.

---

# 2
VASP calculation (PBE-GGA) on Pu3Pa5As8 after structural relaxation.

a = 8.2139 Å, b = 8.2139 Å, c = 20.1411 Å
α = 90.00°, β = 90.00°, γ = 120.00°
Last column: nearest neighbours and their distance in Å.
Space group R-3m (No. 166, hexagonal axes)
Inequivalent atoms, fractional coordinates:
Pu (0.0000, 0.5000, 0.0000) x9  6 As 2.91-2.92
Pa (0.0000, 0.0000, 0.0000) x3  6 As 2.91
Pa (0.0000, 0.0000, 0.5000) x3  6 As 2.90
Pa (0.0000, 0.5000, 0.5000) x9  6 As 2.89-2.90
As (0.0000, 0.0000, 0.2490) x6  3 Pa 2.89, 3 Pu 2.92
As (0.0011, 0.5005, 0.7506) x18  4 Pa 2.90-2.91, 2 Pu 2.91

DOS at the Fermi energy	1.965	states/eV/atom
calculated formation energy	-17.05	eV/f.u.

---

# 3
VASP calculation (PBE-GGA) on PuPa2As3 after structural relaxation.

a = 3.8829 Å, b = 10.7009 Å, c = 7.0433 Å
α = 90.00°, β = 90.00°, γ = 90.00°
Last column: nearest neighbours and their distance in Å.
Space group Pmc2_1 (No. 26)
Inequivalent atoms, fractional coordinates:
Pu (0.0000, 0.1627, 0.0000) x2  7 As 2.95-3.27, 1 Pa 3.25
Pa (0.0000, 0.1404, 0.4782) x2  7 As 2.96-3.11, 1 Pu 3.25
Pa (0.5000, 0.4949, 0.9890) x2  6 As 2.84-2.97
As (0.0000, 0.3735, 0.7292) x2  5 Pa 2.93-3.06, 1 Pu 2.95
As (0.5000, 0.0248, 0.7416) x2  4 Pa 2.96-3.11, 4 Pu 3.04-3.27
As (0.5000, 0.2902, 0.2512) x2  4 Pa 2.84-2.98, 2 Pu 2.96

DOS at the Fermi energy	1.837	states/eV/atom
calculated formation energy	-4.90	eV/f.u.

---

# 4
VASP calculation (PBE-GGA) on PuPa2As4 after structural relaxation.

a = 8.6170 Å, b = 8.6170 Å, c = 8.5364 Å
α = 90.00°, β = 90.00°, γ = 90.00°
Last column: nearest neighbours and their distance in Å.
Space group I-42d (No. 122)
Inequivalent atoms, fractional coordinates:
Pu (0.0000, 0.0000, 0.0000) x4  8 As 2.96-3.02
Pa (0.1295, 0.7500, 0.6250) x8  8 As 2.90-3.04
As (0.0787, 0.6691, 0.9510) x16  4 Pa 2.90-3.04, 2 Pu 2.96-3.02, 2 As 3.21-3.22

DOS at the Fermi energy	1.357	states/eV/atom
calculated formation energy	-7.27	eV/f.u.

---

# 5
VASP calculation (PBE-GGA) on PuPaAs after structural relaxation.

a = 7.7850 Å, b = 3.9101 Å, c = 8.8825 Å
α = 90.00°, β = 90.00°, γ = 90.00°
Last column: nearest neighbours and their distance in Å.
Space group Pnma (No. 62)
Inequivalent atoms, fractional coordinates:
Pu (0.1276, 0.2500, 0.0956) x4  1 Pa 2.62
Pa (0.1344, 0.2500, 0.3904) x4  1 Pu 2.62
As (0.1188, 0.2500, 0.7411) x4  5 Pa 3.01-3.12, 5 Pu 3.06-3.15

DOS at the Fermi energy	1.820	states/eV/atom
calculated formation energy	-1.71	eV/f.u.

---

# 6
VASP calculation (PBE-GGA) on PuPa2As after structural relaxation.

a = 4.5080 Å, b = 4.5080 Å, c = 4.2939 Å
α = 90.00°, β = 90.00°, γ = 90.00°
Last column: nearest neighbours and their distance in Å.
Space group P4/mmm (No. 123)
Inequivalent atoms, fractional coordinates:
Pu (0.0000, 0.0000, 0.0000) x1  8 Pa 3.11, 4 As 3.19
Pa (0.0000, 0.5000, 0.5000) x2  4 As 3.11, 4 Pu 3.11, 4 Pa 3.19
As (0.5000, 0.5000, 0.0000) x1  8 Pa 3.11, 4 Pu 3.19

DOS at the Fermi energy	2.597	states/eV/atom
calculated formation energy	-1.76	eV/f.u.